Entry 1:
Below is Fe2MoPt at its PBEsol-relaxed geometry, with properties calculated at the SCAN level.

E_tot, eV for the cell shown: -141.664
Space-group type: Pmm2, No. 25
Crystal system: orthorhombic

```
data_Fe2MoPt
_space_group_name_H-M_alt 'P 1'
_space_group_IT_number 1
_space_group_name_Hall 'P 1'
_cell_length_a 2.646
_cell_length_b 3.668
_cell_length_c 5.288
_cell_angle_alpha 90.00
_cell_angle_beta 90.00
_cell_angle_gamma 90.00
loop_
_atom_site_label
_atom_site_fract_x
_atom_site_fract_y
_atom_site_fract_z
Mo1 0.000 0.000 0.475
Pt1 0.500 0.500 0.761
Fe1 0.000 0.000 0.025
Fe2 0.500 0.500 0.240
```

---

Entry 2:
Below is Fe2MoPt at its PBEsol-relaxed geometry, with properties calculated at the SCAN level.

E_tot, eV for the cell shown: -141.760
Space-group type: I4/mmm, No. 139
Crystal system: tetragonal

```
data_Fe2MoPt
_space_group_name_H-M_alt 'P 1'
_space_group_IT_number 1
_space_group_name_Hall 'P 1'
_cell_length_a 3.754
_cell_length_b 3.754
_cell_length_c 4.515
_cell_angle_alpha 114.56
_cell_angle_beta 114.56
_cell_angle_gamma 90.00
loop_
_atom_site_label
_atom_site_fract_x
_atom_site_fract_y
_atom_site_fract_z
Mo1 0.000 0.000 0.000
Fe1 0.750 0.250 0.500
Fe2 0.250 0.750 0.500
Pt1 0.500 0.500 0.000
```

---

Entry 3:
Below is FeMoPt at its PBEsol-relaxed geometry, with properties calculated at the SCAN level.

Excess energy over the best structure of this formula in the dataset, eV/atom: 0.384
E_tot, eV for the cell shown: -122.589
Space-group type: F-43m, No. 216
Crystal system: cubic

```
data_FeMoPt
_space_group_name_H-M_alt 'P 1'
_space_group_IT_number 1
_space_group_name_Hall 'P 1'
_cell_length_a 4.023
_cell_length_b 4.023
_cell_length_c 4.023
_cell_angle_alpha 60.00
_cell_angle_beta 60.00
_cell_angle_gamma 60.00
loop_
_atom_site_label
_atom_site_fract_x
_atom_site_fract_y
_atom_site_fract_z
Mo1 0.000 0.000 0.000
Pt1 0.500 0.500 0.500
Fe1 0.250 0.250 0.250
```

---

Entry 4:
Below is FeMo2Pt at its PBEsol-relaxed geometry, with properties calculated at the SCAN level.

Excess energy over the best structure of this formula in the dataset, eV/atom: 0.035
E_tot, eV for the cell shown: -158.386
Space-group type: Pmmm, No. 47
Crystal system: orthorhombic

```
data_FeMo2Pt
_space_group_name_H-M_alt 'P 1'
_space_group_IT_number 1
_space_group_name_Hall 'P 1'
_cell_length_a 2.690
_cell_length_b 3.777
_cell_length_c 5.422
_cell_angle_alpha 90.00
_cell_angle_beta 89.98
_cell_angle_gamma 90.00
loop_
_atom_site_label
_atom_site_fract_x
_atom_site_fract_y
_atom_site_fract_z
Pt1 0.500 0.500 0.000
Fe1 0.500 0.500 0.500
Mo1 0.000 0.000 0.727
Mo2 0.000 0.000 0.273
```